Version P
Fe3SiAs (PBE, optimized geometry); crystal system = cubic; space-group type = No. 221; calculated density = 5.79 g/cm3; magnetic moment = 6.58 Bohr magnetons per cell
1.0
4.265 0.000 0.000
0.000 4.265 0.000
0.000 0.000 4.265
Fe Si As
3 1 1
Direct
0.000 0.000 0.500
0.000 0.500 0.000
0.500 0.000 0.000
0.000 0.000 0.000
0.500 0.500 0.500

Version Q
Fe3SiAs (PBE, optimized geometry); crystal system = cubic; space-group type = No. 221; calculated density = 5.42 g/cm3; magnetic moment = 6.68 Bohr magnetons per cell
1.0
4.359 0.000 0.000
0.000 4.359 0.000
0.000 0.000 4.359
Fe Si As
3 1 1
Direct
0.000 0.000 0.500
0.000 0.500 0.000
0.500 0.000 0.000
0.500 0.500 0.500
0.000 0.000 0.000

Pick the most stable structure from those above. Pick: version P